First-principles (PBE-GGA) data for a geometry-optimized Li6Al12Ir structure, as listed in the Alexandria database.

a b c (Å): 6.7827 6.7827 6.7827
angles (deg): 93.97 93.97 93.97
With the nearest neighbours (Å) after each atom.
Element x y z (fractional)
Li  0.2229  0.3838  0.7620  9 Al 2.65-2.92, 1 Ir 2.79, 2 Li 2.91
Li  0.2380  0.7771  0.6162  9 Al 2.65-2.92, 1 Ir 2.79, 2 Li 2.91
Li  0.3838  0.7620  0.2229  9 Al 2.65-2.92, 1 Ir 2.79, 2 Li 2.91
Li  0.6162  0.2380  0.7771  9 Al 2.65-2.92, 1 Ir 2.79, 2 Li 2.91
Li  0.7620  0.2229  0.3838  9 Al 2.65-2.92, 1 Ir 2.79, 2 Li 2.91
Li  0.7771  0.6162  0.2380  9 Al 2.65-2.92, 1 Ir 2.79, 2 Li 2.91
Al  0.0352  0.9588  0.2938  4 Al 2.64-2.89, 4 Li 2.73-2.90
Al  0.0412  0.7062  0.9648  4 Al 2.64-2.89, 4 Li 2.73-2.90
Al  0.1365  0.4598  0.3708  1 Ir 2.55, 2 Al 2.64-2.69, 4 Li 2.65-2.84
Al  0.2938  0.0352  0.9588  4 Al 2.64-2.89, 4 Li 2.73-2.90
Al  0.3708  0.1365  0.4598  1 Ir 2.55, 2 Al 2.64-2.69, 4 Li 2.65-2.84
Al  0.4598  0.3708  0.1365  1 Ir 2.55, 2 Al 2.64-2.69, 4 Li 2.65-2.84
Al  0.5402  0.6292  0.8635  1 Ir 2.55, 2 Al 2.64-2.69, 4 Li 2.65-2.84
Al  0.6292  0.8635  0.5402  1 Ir 2.55, 2 Al 2.64-2.69, 4 Li 2.65-2.84
Al  0.7062  0.9648  0.0412  4 Al 2.64-2.89, 4 Li 2.73-2.90
Al  0.8635  0.5402  0.6292  1 Ir 2.55, 2 Al 2.64-2.69, 4 Li 2.65-2.84
Al  0.9588  0.2938  0.0352  4 Al 2.64-2.89, 4 Li 2.73-2.90
Al  0.9648  0.0412  0.7062  4 Al 2.64-2.89, 4 Li 2.73-2.90
Ir  0.5000  0.5000  0.5000  6 Al 2.55, 6 Li 2.79

Summary:
Calculated volume = 310 Å³/cell
Space group = R-3 (148)
Uncorrected energy = -0.26594 Ry per atom

First-principles (PBE-GGA) data for a geometry-optimized Tb5Er4Zr structure, as listed in the Alexandria database.

a b c (Å): 7.8874 7.8874 7.8874
angles (deg): 98.02 98.02 136.14
With the nearest neighbours (Å) after each atom.
Element x y z (fractional)
Tb  0.0000  0.0000  0.0000  1 Zr 2.70
Tb  0.5170  0.5170  0.6311  1 Zr 3.06, 1 Tb 3.22, 2 Er 3.27
Tb  0.5170  0.8859  0.0000  1 Zr 3.06, 1 Tb 3.22, 2 Er 3.27
Tb  0.8859  0.5170  0.0000  1 Zr 3.06, 1 Tb 3.22, 2 Er 3.27
Tb  0.8859  0.8859  0.3689  1 Zr 3.06, 1 Tb 3.22, 2 Er 3.27
Er  0.2328  0.5544  0.3215  5 Tb 3.27-3.64, 1 Zr 3.58
Er  0.2328  0.9113  0.6785  5 Tb 3.27-3.64, 1 Zr 3.58
Er  0.5544  0.2328  0.3215  5 Tb 3.27-3.64, 1 Zr 3.58
Er  0.9113  0.2328  0.6785  5 Tb 3.27-3.64, 1 Zr 3.58
Zr  0.4578  0.4578  0.0000  1 Tb 2.70

Summary:
Calculated volume = 315 Å³/cell
Space group = I4mm (107)
Uncorrected energy = -0.34829 Ry per atom